This record from Alexandria via LeMat-Bulk describes AlTlBr2 after structural relaxation. The functional is PBE.

The structure in POSCAR format:
```
AlTlBr2
1.0
-3.793 3.793 6.542
3.793 -3.793 6.542
3.793 3.793 -6.542
Al Tl Br
2 2 4
direct
0.000 0.000 0.000 Al
0.750 0.250 0.500 Al
0.250 0.750 0.500 Tl
0.500 0.500 0.000 Tl
0.099 0.625 0.974 Br
0.375 0.349 0.474 Br
0.651 0.125 0.026 Br
0.875 0.901 0.526 Br
```

- V: 188 Å³/f.u.
- DOS at the Fermi energy: 0.000 states/eV per atom
- E_form (uncorrected): -0.404 eV/atom
- Total magnetic moment: 0.00 μB per cell